Record 1
{"formula": "MgSc2Ag", "functional": "GGA-PBE", "state": "optimized geometry", "cell": [[1.872, 1.396, -6.362], [-5.884, -0.881, 3.246], [-1.519, 1.612, 6.405]], "species": ["Mg", "Ag", "Sc", "Sc"], "frac_coords": [[0.000, 0.000, 0.000], [0.000, 0.500, 0.500], [0.000, 0.276, 0.276], [0.000, 0.724, 0.724]], "total_energy_ev_per_cell": -16.05, "ef_ev_per_atom": 0.2643}

Record 2
{"formula": "Sr6Hg3N", "functional": "GGA-PBE", "state": "optimized geometry", "cell": [[7.586, 0.000, 0.315], [0.000, 8.426, 0.000], [0.384, 0.000, 10.978]], "species": ["Sr", "Hg", "Hg", "Sr", "Sr", "Sr", "Sr", "Sr", "N", "Hg", "Hg", "Sr", "Hg", "N", "Sr", "Sr", "Hg", "Sr", "Sr", "Sr"], "frac_coords": [[0.292, 0.842, 0.053], [0.500, 0.500, 0.000], [0.454, 0.099, 0.250], [0.708, 0.158, 0.947], [0.869, 0.964, 0.225], [0.792, 0.658, 0.553], [0.208, 0.342, 0.447], [0.142, 0.281, 0.059], [0.000, 0.000, 0.000], [0.000, 0.000, 0.500], [0.954, 0.401, 0.750], [0.131, 0.036, 0.775], [0.046, 0.599, 0.250], [0.500, 0.500, 0.500], [0.631, 0.464, 0.275], [0.642, 0.219, 0.559], [0.546, 0.901, 0.750], [0.858, 0.719, 0.941], [0.369, 0.536, 0.725], [0.358, 0.781, 0.441]], "total_energy_ev_per_cell": -47.76, "e_form_raw_ev_per_atom": -0.456}

Record 3
{"formula": "IrPtBr", "functional": "GGA-PBE", "state": "optimized geometry", "cell": [[7.435, -0.014, 0.008], [6.517, 2.826, 0.009], [0.919, -1.403, 2.470]], "species": ["Br", "Pt", "Ir"], "frac_coords": [[0.991, 0.991, 0.009], [0.674, 0.674, 0.326], [0.335, 0.335, 0.665]], "total_energy_ev_per_cell": -14.37, "de_polymorph_ev_per_fu": 0.583, "e_form_raw_ev_per_atom": 0.734}

Record 4
{"formula": "BaOsRu4", "functional": "GGA-PBE", "state": "optimized geometry", "cell": [[0.000, 3.750, 3.750], [3.750, 0.000, 3.750], [3.750, 3.750, 0.000]], "species": ["Os", "Ru", "Ru", "Ru", "Ba", "Ru"], "frac_coords": [[0.000, 0.000, 0.000], [0.374, 0.374, 0.879], [0.374, 0.879, 0.374], [0.374, 0.374, 0.374], [0.750, 0.750, 0.750], [0.879, 0.374, 0.374]], "total_energy_ev_per_cell": -44.16, "ef_ev_per_atom": 1.0165}

Record 5
{"formula": "Ce2Mg2Ga", "functional": "GGA-PBE", "state": "optimized geometry", "cell": [[3.997, 0.000, 0.000], [0.000, 3.997, 0.000], [-1.998, -1.998, 8.664]], "species": ["Ce", "Mg", "Mg", "Ce", "Ga"], "frac_coords": [[0.579, 0.579, 0.158], [0.250, 0.750, 0.500], [0.750, 0.250, 0.500], [0.421, 0.421, 0.842], [0.000, 0.000, 0.000]], "total_energy_ev_per_cell": -17.78, "ef_ev_per_atom": 0.0615}

Record 6
{"formula": "TmUTl2S6", "functional": "GGA-PBE", "state": "optimized geometry", "cell": [[7.118, 0.000, -0.012], [0.000, 7.208, 0.000], [0.045, 0.000, 10.215]], "species": ["S", "Tm", "Tl", "Tl", "S", "S", "Tm", "S", "S", "U", "Tl", "S", "S", "S", "U", "S", "S", "S", "S", "Tl"], "frac_coords": [[0.205, 0.193, 0.461], [0.500, 0.000, 0.000], [0.993, 0.044, 0.748], [0.493, 0.456, 0.248], [0.705, 0.307, 0.961], [0.295, 0.693, 0.039], [0.000, 0.500, 0.500], [0.082, 0.484, 0.756], [0.582, 0.016, 0.256], [0.000, 0.500, 0.000], [0.007, 0.956, 0.252], [0.795, 0.807, 0.539], [0.809, 0.793, 0.957], [0.309, 0.707, 0.457], [0.500, 0.000, 0.500], [0.191, 0.207, 0.043], [0.691, 0.293, 0.543], [0.418, 0.984, 0.744], [0.918, 0.516, 0.244], [0.507, 0.544, 0.752]], "total_energy_ev_per_cell": -110.33, "e_form_raw_ev_per_atom": -0.991}

Record 7
{"formula": "K2YMnAu", "functional": "GGA-PBE", "state": "optimized geometry", "cell": [[6.171, 0.000, 0.000], [0.000, 4.969, 0.000], [0.000, 0.000, 6.171]], "species": ["Y", "Mn", "Au", "K", "K"], "frac_coords": [[0.500, 0.500, 0.500], [0.000, 0.000, 0.000], [0.000, 0.500, 0.000], [0.500, 0.000, 0.000], [0.000, 0.000, 0.500]], "total_energy_ev_per_cell": -16.88, "ef_ev_per_atom": 0.8448}

Record 8
{"formula": "La6Pr5Cd", "functional": "GGA-PBE", "state": "optimized geometry", "cell": [[5.028, -0.005, -1.410], [-3.564, 8.562, -3.058], [0.023, 0.164, 9.764]], "species": ["Pr", "La", "La", "Pr", "Pr", "Pr", "Pr", "La", "La", "Cd", "La", "La"], "frac_coords": [[0.500, 0.172, 0.828], [0.757, 0.594, 0.920], [0.743, 0.243, 0.243], [0.500, 0.828, 0.172], [0.000, 0.664, 0.336], [0.500, 0.500, 0.500], [0.000, 0.336, 0.664], [0.243, 0.080, 0.406], [0.757, 0.920, 0.594], [0.000, 0.000, 0.000], [0.257, 0.757, 0.757], [0.243, 0.406, 0.080]], "total_energy_ev_per_cell": -54.67, "ef_ev_per_atom": -0.0246}

Record 9
{"formula": "NaAg5Te4", "functional": "GGA-PBE", "state": "optimized geometry", "cell": [[-2.588, 1.918, -3.016], [3.815, -6.806, -4.367], [-6.702, -1.656, 4.697]], "species": ["Te", "Na", "Te", "Ag", "Ag", "Te", "Ag", "Ag", "Ag", "Te"], "frac_coords": [[0.000, 0.999, 0.293], [0.500, 0.000, 0.000], [0.290, 0.580, 0.790], [0.182, 0.363, 0.406], [0.818, 0.636, 0.041], [0.710, 0.420, 0.210], [0.818, 0.637, 0.594], [0.500, 0.000, 0.500], [0.182, 0.364, 0.959], [0.000, 0.001, 0.707]], "total_energy_ev_per_cell": -29.59, "e_form_raw_ev_per_atom": -0.145}

Record 10
{"formula": "Pr4SiH", "functional": "GGA-PBE", "state": "optimized geometry", "cell": [[-2.002, 5.663, 0.587], [-3.685, -6.259, 1.457], [3.259, 0.206, 9.131]], "species": ["Pr", "Pr", "Pr", "Pr", "Pr", "H", "H", "Si", "Pr", "Si", "Pr", "Pr"], "frac_coords": [[0.590, 0.736, 0.750], [0.410, 0.264, 0.250], [0.993, 0.271, 0.956], [0.398, 0.141, 0.750], [0.007, 0.729, 0.044], [0.009, 0.894, 0.250], [0.991, 0.106, 0.750], [0.995, 0.590, 0.750], [0.602, 0.859, 0.250], [0.005, 0.410, 0.250], [0.993, 0.271, 0.544], [0.007, 0.729, 0.456]], "total_energy_ev_per_cell": -59.15}

Record 11
{"formula": "Li3AlAg4", "functional": "GGA-PBE", "state": "optimized geometry", "cell": [[5.962, -0.266, -0.837], [-3.168, 5.058, 0.837], [-3.247, -1.318, 4.903]], "species": ["Li", "Ag", "Al", "Li", "Ag", "Ag", "Li", "Ag"], "frac_coords": [[0.591, 0.752, 0.342], [0.065, 0.750, 0.315], [0.316, 0.500, 0.816], [0.834, 0.000, 0.834], [0.095, 0.749, 0.843], [0.566, 0.250, 0.315], [0.591, 0.248, 0.839], [0.095, 0.251, 0.346]], "total_energy_ev_per_cell": -21.72, "de_polymorph_ev_per_fu": 0.912, "ef_ev_per_atom": -0.1038}

Record 12
{"formula": "InRuCl2", "functional": "GGA-PBE", "state": "optimized geometry", "cell": [[3.641, 0.000, 0.000], [0.000, 6.218, 0.382], [0.000, 3.693, 5.020]], "species": ["Cl", "Cl", "In", "Ru"], "frac_coords": [[0.000, 0.890, 0.889], [0.000, 0.610, 0.611], [0.500, 0.250, 0.250], [0.500, 0.750, 0.750]], "total_energy_ev_per_cell": -16.49, "de_polymorph_ev_per_fu": 0.175, "e_form_raw_ev_per_atom": -0.197}

Record 13
{"formula": "Zn2FeRe", "functional": "GGA-PBE", "state": "optimized geometry", "cell": [[4.294, 0.000, 0.000], [0.000, 2.580, -0.003], [0.000, 0.866, 4.934]], "species": ["Re", "Zn", "Fe", "Zn"], "frac_coords": [[0.500, 0.750, 0.750], [0.000, 0.053, 0.006], [0.500, 0.250, 0.250], [0.000, 0.447, 0.494]], "total_energy_ev_per_cell": -22.69, "de_polymorph_ev_per_fu": 0.586, "ef_ev_per_atom": 0.1913}

Record 14
{"formula": "ZnAgPb2", "functional": "GGA-PBE", "state": "optimized geometry", "cell": [[-2.646, -1.404, 1.544], [-0.165, -2.344, -2.415], [5.237, -4.966, 4.462]], "species": ["Pb", "Ag", "Zn", "Pb"], "frac_coords": [[0.000, 0.000, 0.953], [0.500, 0.500, 0.703], [0.000, 0.000, 0.544], [0.500, 0.500, 0.299]], "total_energy_ev_per_cell": -11.29, "ef_ev_per_atom": 0.0621}

Record 15
{"formula": "TbPr2Eu", "functional": "GGA-PBE", "state": "optimized geometry", "cell": [[5.887, 0.000, 0.000], [2.944, 5.099, 0.000], [2.944, 1.700, 4.807]], "species": ["Eu", "Pr", "Tb", "Pr"], "frac_coords": [[0.500, 0.500, 0.500], [0.250, 0.250, 0.250], [0.000, 0.000, 0.000], [0.750, 0.750, 0.750]], "total_energy_ev_per_cell": -23.95, "de_polymorph_ev_per_fu": 0.390, "ef_ev_per_atom": 0.1283}

Record 16
{"formula": "PdPb2O", "functional": "GGA-PBE", "state": "optimized geometry", "cell": [[6.169, 0.000, 0.000], [0.000, 6.169, 0.000], [3.085, 3.085, 5.276]], "species": ["Pd", "O", "Pb", "Pb", "Pb", "O", "Pb", "Pd"], "frac_coords": [[0.750, 0.250, 0.500], [0.500, 0.500, 0.000], [0.375, 0.417, 0.750], [0.875, 0.833, 0.750], [0.583, 0.125, 0.250], [0.250, 0.750, 0.500], [0.167, 0.625, 0.250], [0.000, 0.000, 0.000]], "total_energy_ev_per_cell": -37.95, "e_form_raw_ev_per_atom": -0.351}

Record 17
{"formula": "MnSbH", "functional": "GGA-PBE", "state": "optimized geometry", "cell": [[-0.258, 4.006, -1.073], [0.011, -1.247, -4.657], [-8.139, -1.219, 0.307]], "species": ["H", "Sb", "Mn", "Sb", "Mn", "Mn", "Sb", "H", "Mn", "H", "H", "Sb"], "frac_coords": [[0.500, 0.229, 0.500], [0.217, 0.500, 0.714], [0.766, 0.500, 0.934], [0.783, 0.000, 0.786], [0.766, 0.000, 0.434], [0.234, 0.000, 0.566], [0.217, 0.000, 0.214], [0.500, 0.271, 0.000], [0.234, 0.500, 0.066], [0.500, 0.729, 0.000], [0.500, 0.771, 0.500], [0.783, 0.500, 0.286]], "total_energy_ev_per_cell": -64.65, "de_polymorph_ev_per_fu": 0.320}

Record 18
{"formula": "CaTe2Ru", "functional": "GGA-PBE", "state": "optimized geometry", "cell": [[-4.278, 3.827, 1.853], [-1.361, 0.527, 5.853], [4.861, -0.032, -3.571]], "species": ["Te", "Te", "Ca", "Ru"], "frac_coords": [[0.250, 0.750, 0.500], [0.000, 0.000, 0.000], [0.500, 0.500, 0.000], [0.750, 0.250, 0.500]], "total_energy_ev_per_cell": -17.79, "de_polymorph_ev_per_fu": 2.613, "e_form_raw_ev_per_atom": -0.058}

Record 19
{"formula": "AgPt2W", "functional": "GGA-PBE", "state": "optimized geometry", "cell": [[2.763, 0.000, 0.000], [0.000, 4.929, 0.000], [0.000, 0.000, 4.806]], "species": ["Pt", "Pt", "W", "Ag"], "frac_coords": [[0.000, 0.000, 0.000], [0.500, 0.500, 0.000], [0.500, 0.000, 0.500], [0.000, 0.500, 0.500]], "total_energy_ev_per_cell": -26.40, "de_polymorph_ev_per_fu": 2.311, "ef_ev_per_atom": 0.3720}

| no. | size of the total moment (μB/cell) |
| --- | --- |
| 1 | 0.00 |
| 2 | 0.00 |
| 3 | 0.00 |
| 4 | 0.00 |
| 5 | 1.89 |
| 6 | 0.00 |
| 7 | 3.18 |
| 8 | 0.00 |
| 9 | 0.00 |
| 10 | 0.00 |
| 11 | 0.00 |
| 12 | 0.00 |
| 13 | 2.35 |
| 14 | 0.00 |
| 15 | 7.79 |
| 16 | 0.00 |
| 17 | 2.89 |
| 18 | 0.21 |
| 19 | 0.00 |